1.
# ZrBeTe2

A relaxed structure of ZrBeTe2 (PBE, the Alexandria database).

abc: 5.049 5.049 5.049
angles: 60.00 60.00 60.00
Atoms (fractional coordinates):
Zr: 0.000 0.000 0.000
Be: 0.750 0.750 0.750
Te: 0.250 0.250 0.250
Te: 0.500 0.500 0.500

Summary:
Space group   F-43m
Magnetization   0.07 μB per formula unit
Raw total energy   -4.154 eV/atom

---

2.
# Zr3BeTe

A relaxed structure of Zr3BeTe (PBE, the Alexandria database).

abc: 10.288 10.288 5.662
angles: 97.41 97.41 20.36
Atoms (fractional coordinates):
Zr: 0.002 0.002 0.266
Zr: 0.202 0.202 0.113
Zr: 0.363 0.363 0.441
Zr: 0.637 0.637 0.559
Zr: 0.798 0.798 0.887
Zr: 0.998 0.998 0.734
Be: 0.236 0.236 0.597
Be: 0.764 0.764 0.403
Te: 0.410 0.410 0.965
Te: 0.590 0.590 0.035

Summary:
Space group   C2/m
Excess energy over the best structure of this formula in the dataset   0.0000 eV/atom
Magnetization   0.00 μB per formula unit
Raw total energy   -6.864 eV/atom

---

3.
# ZrBe2Te2

A relaxed structure of ZrBe2Te2 (PBE, the Alexandria database).

abc: 5.202 5.202 5.202
angles: 121.19 121.19 87.95
Atoms (fractional coordinates):
Zr: 0.000 0.000 0.000
Be: 0.356 0.356 0.000
Be: 0.644 0.644 0.000
Te: 0.250 0.750 0.500
Te: 0.750 0.250 0.500

Summary:
Space group   I4/mmm
Magnetization   0.00 μB per formula unit
Raw total energy   -4.348 eV/atom

---

4.
# ZrBe3Te

A relaxed structure of ZrBe3Te (PBE, the Alexandria database).

abc: 4.742 4.742 4.742
angles: 90.00 90.00 90.00
Atoms (fractional coordinates):
Zr: 0.000 0.000 0.000
Be: 0.000 0.000 0.500
Be: 0.000 0.500 0.000
Be: 0.500 0.000 0.000
Te: 0.500 0.500 0.500

Summary:
Space group   Pm-3m
Excess energy over the best structure of this formula in the dataset   0.2723 eV/atom
Magnetization   0.00 μB per formula unit
Raw total energy   -3.055 eV/atom

---

5.
# ZrBeTe

A relaxed structure of ZrBeTe (PBE, the Alexandria database).

abc: 4.284 4.284 3.583
angles: 90.00 90.00 120.00
Atoms (fractional coordinates):
Zr: 0.000 0.000 0.000
Be: 0.667 0.333 0.496
Te: 0.333 0.667 0.500

Summary:
Space group   P3m1
Excess energy over the best structure of this formula in the dataset   0.7782 eV/atom
Magnetization   0.00 μB per formula unit
Raw total energy   -5.021 eV/atom

---

6.
# ZrBeTe3

A relaxed structure of ZrBeTe3 (PBE, the Alexandria database).

abc: 4.963 4.963 4.963
angles: 90.00 90.00 90.00
Atoms (fractional coordinates):
Zr: 0.000 0.000 0.000
Be: 0.500 0.500 0.500
Te: 0.000 0.500 0.500
Te: 0.500 0.000 0.500
Te: 0.500 0.500 0.000

Summary:
Space group   Pm-3m
Excess energy over the best structure of this formula in the dataset   0.8621 eV/atom
Magnetization   0.00 μB per formula unit
Raw total energy   -4.062 eV/atom

---

7.
# ZrBeTe2

A relaxed structure of ZrBeTe2 (PBE, the Alexandria database).

abc: 3.583 3.583 8.100
angles: 90.00 90.00 117.82
Atoms (fractional coordinates):
Zr: 0.000 0.000 0.000
Be: 0.000 0.000 0.500
Te: 0.500 0.500 0.281
Te: 0.500 0.500 0.719

Summary:
Space group   Cmmm
Magnetization   0.00 μB per formula unit
Raw total energy   -4.512 eV/atom

---

8.
# Zr3BeTe

A relaxed structure of Zr3BeTe (PBE, the Alexandria database).

abc: 4.741 4.741 4.741
angles: 90.00 90.00 90.00
Atoms (fractional coordinates):
Zr: 0.000 0.000 0.500
Zr: 0.000 0.500 0.000
Zr: 0.500 0.000 0.000
Be: 0.000 0.000 0.000
Te: 0.500 0.500 0.500

Summary:
Space group   Pm-3m
Excess energy over the best structure of this formula in the dataset   0.3677 eV/atom
Magnetization   0.00 μB per formula unit
Raw total energy   -6.496 eV/atom

---

9.
# Th2Be17

A relaxed structure of Th2Be17 (PBE, the Alexandria database).

abc: 5.985 5.985 5.985
angles: 82.66 82.66 82.66
Atoms (fractional coordinates):
Th: 0.161 0.161 0.161
Th: 0.839 0.839 0.839
Be: 0.000 0.500 0.500
Be: 0.169 0.169 0.658
Be: 0.169 0.658 0.169
Be: 0.230 0.500 0.770
Be: 0.230 0.770 0.500
Be: 0.342 0.831 0.831
Be: 0.407 0.407 0.407
Be: 0.500 0.000 0.500
Be: 0.500 0.230 0.770
Be: 0.500 0.500 0.000
Be: 0.500 0.770 0.230
Be: 0.593 0.593 0.593
Be: 0.658 0.169 0.169
Be: 0.770 0.230 0.500
Be: 0.770 0.500 0.230
Be: 0.831 0.342 0.831
Be: 0.831 0.831 0.342

Summary:
E_form   -0.076 eV/atom
Space group   R-3m
Magnetization   0.00 μB per formula unit
Raw total energy   -4.191 eV/atom

---

10.
# ThBe

A relaxed structure of ThBe (PBE, the Alexandria database).

abc: 4.108 3.800 5.766
angles: 90.00 110.95 90.00
Atoms (fractional coordinates):
Th: 0.147 0.250 0.292
Th: 0.853 0.750 0.708
Be: 0.449 0.250 0.898
Be: 0.551 0.750 0.102

Summary:
E_form   0.077 eV/atom
Space group   P2_1/m
Magnetization   0.00 μB per formula unit
Raw total energy   -5.496 eV/atom

---

11.
# Th3Be

A relaxed structure of Th3Be (PBE, the Alexandria database).

abc: 4.783 4.783 4.783
angles: 90.00 90.00 90.00
Atoms (fractional coordinates):
Th: 0.000 0.000 0.500
Th: 0.000 0.500 0.000
Th: 0.500 0.000 0.000
Be: 0.500 0.500 0.500

Summary:
E_form   0.293 eV/atom
Space group   Pm-3m
Excess energy over the best structure of this formula in the dataset   0.0000 eV/atom
Magnetization   0.00 μB per formula unit
Raw total energy   -6.204 eV/atom

---

12.
# ThBe6

A relaxed structure of ThBe6 (PBE, the Alexandria database).

abc: 4.959 4.959 4.959
angles: 109.47 109.47 109.47
Atoms (fractional coordinates):
Th: 0.000 0.000 0.000
Be: 0.250 0.500 0.750
Be: 0.250 0.750 0.500
Be: 0.500 0.250 0.750
Be: 0.500 0.750 0.250
Be: 0.750 0.250 0.500
Be: 0.750 0.500 0.250

Summary:
E_form   0.434 eV/atom
Space group   Im-3m
Magnetization   0.00 μB per formula unit
Raw total energy   -3.819 eV/atom

---

13.
# Th4Be

A relaxed structure of Th4Be (PBE, the Alexandria database).

abc: 5.338 5.338 5.338
angles: 90.00 90.00 90.00
Atoms (fractional coordinates):
Th: 0.000 0.000 0.000
Th: 0.000 0.500 0.500
Th: 0.500 0.000 0.500
Th: 0.500 0.500 0.000
Be: 0.500 0.500 0.500

Summary:
E_form   0.373 eV/atom
Space group   Pm-3m
Magnetization   0.00 μB per formula unit
Raw total energy   -6.308 eV/atom

---

14.
# Th3Be

A relaxed structure of Th3Be (PBE, the Alexandria database).

abc: 3.405 3.441 9.689
angles: 90.00 90.00 90.00
Atoms (fractional coordinates):
Th: 0.000 0.000 0.000
Th: 0.000 0.500 0.411
Th: 0.500 0.500 0.725
Be: 0.500 0.000 0.243

Summary:
E_form   0.406 eV/atom
Space group   Pmm2
Excess energy over the best structure of this formula in the dataset   0.1137 eV/atom
Magnetization   0.00 μB per formula unit
Raw total energy   -6.090 eV/atom

---

15.
# ThTi2Be6

A relaxed structure of ThTi2Be6 (PBE, the Alexandria database).

abc: 6.700 6.700 3.250
angles: 103.12 103.12 63.31
Atoms (fractional coordinates):
Th: 0.000 0.000 0.000
Ti: 0.356 0.356 0.873
Ti: 0.644 0.644 0.127
Be: 0.036 0.603 0.328
Be: 0.347 0.653 0.500
Be: 0.397 0.964 0.672
Be: 0.603 0.036 0.328
Be: 0.653 0.347 0.500
Be: 0.964 0.397 0.672

Summary:
E_form   0.127 eV/atom
Space group   C2/m
Magnetization   0.00 μB per formula unit
Raw total energy   -4.936 eV/atom

---

16.
# Th2BeTl

A relaxed structure of Th2BeTl (PBE, the Alexandria database).

abc: 3.374 3.374 8.908
angles: 90.00 90.00 90.00
Atoms (fractional coordinates):
Th: 0.000 0.000 0.207
Th: 0.000 0.000 0.793
Be: 0.500 0.500 0.000
Tl: 0.500 0.500 0.500

Summary:
E_form   0.042 eV/atom
Space group   P4/mmm
Excess energy over the best structure of this formula in the dataset   0.0000 eV/atom
Magnetization   0.00 μB per formula unit
Raw total energy   -5.191 eV/atom

---

17.
# ThBeTl

A relaxed structure of ThBeTl (PBE, the Alexandria database).

abc: 8.490 8.490 3.924
angles: 90.00 90.00 150.17
Atoms (fractional coordinates):
Th: 0.088 0.912 0.750
Th: 0.912 0.088 0.250
Be: 0.468 0.532 0.750
Be: 0.532 0.468 0.250
Tl: 0.297 0.703 0.750
Tl: 0.703 0.297 0.250

Summary:
E_form   -0.010 eV/atom
Space group   Cmcm
Magnetization   0.00 μB per formula unit
Raw total energy   -4.514 eV/atom

---

18.
# Th2BeTl

A relaxed structure of Th2BeTl (PBE, the Alexandria database).

abc: 11.923 11.923 11.923
angles: 16.16 16.16 16.16
Atoms (fractional coordinates):
Th: 0.085 0.085 0.085
Th: 0.915 0.915 0.915
Be: 0.000 0.000 0.000
Tl: 0.500 0.500 0.500

Summary:
E_form   0.699 eV/atom
Space group   R-3m
Excess energy over the best structure of this formula in the dataset   0.6572 eV/atom
Magnetization   0.00 μB per formula unit
Raw total energy   -4.534 eV/atom

---

19.
# TmThBe

A relaxed structure of TmThBe (PBE, the Alexandria database).

abc: 6.583 6.583 6.583
angles: 149.78 149.78 43.26
Atoms (fractional coordinates):
Tm: 0.000 0.000 0.000
Th: 0.717 0.717 0.000
Be: 0.366 0.366 0.000

Summary:
E_form   0.144 eV/atom
Space group   I4mm
Excess energy over the best structure of this formula in the dataset   0.0109 eV/atom
Magnetization   0.00 μB per formula unit
Raw total energy   -5.062 eV/atom

---

20.
# TmThBe4

A relaxed structure of TmThBe4 (PBE, the Alexandria database).

abc: 5.073 5.073 5.073
angles: 60.00 60.00 60.00
Atoms (fractional coordinates):
Tm: 0.000 0.000 0.000
Th: 0.250 0.250 0.250
Be: 0.113 0.629 0.629
Be: 0.629 0.113 0.629
Be: 0.629 0.629 0.113
Be: 0.629 0.629 0.629

Summary:
E_form   0.119 eV/atom
Space group   F-43m
Magnetization   0.00 μB per formula unit
Raw total energy   -4.347 eV/atom